No. 1
# Pa2BeVN5

A relaxed structure of Pa2BeVN5 (PBE, the Alexandria database).

```
18
Lattice="1.605 -6.556 0.000 1.605 6.556 0.000 0.000 0.000 9.452" Properties=species:S:1:pos:R:3 pbc="T T T"
Pa 1.605 4.975 4.726
Pa 1.605 4.819 1.177
Pa 1.605 -4.819 5.903
Pa 1.605 -4.975 0.000
Be 1.605 0.679 2.420
Be 1.605 -0.679 7.146
V 1.605 4.034 7.757
V 1.605 -4.034 3.031
N 1.605 5.944 7.872
N 1.605 2.670 4.444
N 1.605 2.469 1.678
N 1.605 2.002 7.735
N 1.605 0.038 5.565
N 1.605 -0.038 0.839
N 1.605 -2.002 3.009
N 1.605 -2.469 6.404
N 1.605 -2.670 9.170
N 1.605 -5.944 3.146
```

Properties
**ΔE_f (raw)**: -1.2711 eV/atom
**N(E_F)**: 0.50 states/eV/atom
**Space-group type**: Cmc2_1
**Magnetization**: 0.0 μB/cell



No. 2
# PmPuMnCo

A relaxed structure of PmPuMnCo (PBE, the Alexandria database).

```
16
Lattice="6.841 0.000 0.000 0.000 6.841 0.000 0.000 0.000 6.841" Properties=species:S:1:pos:R:3 pbc="T T T"
Pm 0.000 0.000 0.000
Pm 0.000 3.421 3.421
Pm 3.421 0.000 3.421
Pm 3.421 3.421 0.000
Pu 0.000 0.000 3.421
Pu 0.000 3.421 0.000
Pu 3.421 0.000 0.000
Pu 3.421 3.421 3.421
Mn 1.710 1.710 1.710
Mn 1.710 5.131 5.131
Mn 5.131 1.710 5.131
Mn 5.131 5.131 1.710
Co 1.710 1.710 5.131
Co 1.710 5.131 1.710
Co 5.131 1.710 1.710
Co 5.131 5.131 5.131
```

Properties
**N(E_F)**: 1.42 states/eV/atom
**Energy of formation**: 0.134 eV per atom
**Space-group type**: F-43m
**Magnetization**: 7.0 μB/cell



No. 3
# Hf6In2Ni

A relaxed structure of Hf6In2Ni (PBE, the Alexandria database).

```
9
Lattice="-2.438 3.179 6.882 2.438 -3.179 6.882 2.438 3.179 -6.882" Properties=species:S:1:pos:R:3 pbc="T T T"
Hf 2.438 1.603 -1.929
Hf 0.000 1.574 0.000
Hf 2.438 1.603 1.929
Hf 0.000 1.576 4.953
Hf 0.000 4.784 0.000
Hf 0.000 1.576 8.811
In 2.438 0.000 4.376
In 0.000 3.179 2.506
Ni 2.438 0.000 0.000
```

Properties
**N(E_F)**: 0.96 states/eV/atom
**Energy of formation**: 0.279 eV per atom
**Space-group type**: Immm
**Magnetization**: 0.0 μB/cell



No. 4
# HfThCd2

A relaxed structure of HfThCd2 (PBE, the Alexandria database).

```
16
Lattice="7.373 0.000 0.000 0.000 7.373 0.000 0.000 0.000 7.373" Properties=species:S:1:pos:R:3 pbc="T T T"
Hf 0.000 0.000 0.000
Hf 0.000 3.686 3.686
Hf 3.686 0.000 3.686
Hf 3.686 3.686 0.000
Th 0.000 0.000 3.686
Th 0.000 3.686 0.000
Th 3.686 0.000 0.000
Th 3.686 3.686 3.686
Cd 1.843 1.843 1.843
Cd 1.843 1.843 5.529
Cd 1.843 5.529 1.843
Cd 1.843 5.529 5.529
Cd 5.529 1.843 1.843
Cd 5.529 1.843 5.529
Cd 5.529 5.529 1.843
Cd 5.529 5.529 5.529
```

Properties
**Excess energy over the best structure of this formula in the dataset**: 83 meV/atom
**N(E_F)**: 0.67 states/eV/atom
**Energy of formation**: 0.075 eV per atom
**Space-group type**: Fm-3m
**Magnetization**: 0.0 μB/cell



No. 5
# BaAg2SeS4

A relaxed structure of BaAg2SeS4 (PBE, the Alexandria database).

```
16
Lattice="6.750 0.000 0.000 0.000 7.271 0.000 0.000 0.000 8.324" Properties=species:S:1:pos:R:3 pbc="T T T"
Ba 0.000 0.000 0.000
Ba 3.375 3.636 4.162
Ag 0.000 3.636 1.608
Ag 0.000 3.636 6.716
Ag 3.375 0.000 2.554
Ag 3.375 0.000 5.769
Se 0.000 0.000 4.162
Se 3.375 3.636 0.000
S 1.348 1.407 2.719
S 1.348 5.864 5.604
S 2.027 2.228 6.881
S 2.027 5.043 1.443
S 4.723 2.228 1.443
S 4.723 5.043 6.881
S 5.402 1.407 5.604
S 5.402 5.864 2.719
```

Properties
**ΔE_f (raw)**: -0.4212 eV/atom
**Space-group type**: I222
**Magnetization**: 0.0 μB/cell



No. 6
# PaMnCoRu

A relaxed structure of PaMnCoRu (PBE, the Alexandria database).

```
16
Lattice="6.386 0.000 0.000 0.000 6.386 0.000 0.000 0.000 6.386" Properties=species:S:1:pos:R:3 pbc="T T T"
Pa 0.000 0.000 0.000
Pa 0.000 3.193 3.193
Pa 3.193 0.000 3.193
Pa 3.193 3.193 0.000
Mn 0.000 0.000 3.193
Mn 0.000 3.193 0.000
Mn 3.193 0.000 0.000
Mn 3.193 3.193 3.193
Co 1.597 1.597 4.790
Co 1.597 4.790 1.597
Co 4.790 1.597 1.597
Co 4.790 4.790 4.790
Ru 1.597 1.597 1.597
Ru 1.597 4.790 4.790
Ru 4.790 1.597 4.790
Ru 4.790 4.790 1.597
```

Properties
**N(E_F)**: 1.12 states/eV/atom
**Energy of formation**: -0.099 eV per atom
**Space-group type**: F-43m
**Magnetization**: 17.5 μB/cell



No. 7
# SiAsIr2Ru

A relaxed structure of SiAsIr2Ru (PBE, the Alexandria database).

```
5
Lattice="4.777 0.000 0.000 0.000 4.777 0.000 0.000 0.000 4.552" Properties=species:S:1:pos:R:3 pbc="T T T"
Si 0.000 0.000 0.000
As 2.389 2.389 0.000
Ir 0.000 2.389 2.276
Ir 2.389 0.000 2.276
Ru 2.389 2.389 2.276
```

Properties
**ΔE_f (raw)**: 1.4657 eV/atom
**N(E_F)**: 0.95 states/eV/atom
**Space-group type**: P4/mmm
**Magnetization**: 0.0 μB/cell



No. 8
# Tb3Ho5Sc

A relaxed structure of Tb3Ho5Sc (PBE, the Alexandria database).

```
18
Lattice="6.031 -5.545 0.000 6.031 5.545 0.000 -5.685 0.000 9.920" Properties=species:S:1:pos:R:3 pbc="T T T"
Tb 0.000 0.000 0.000
Tb -2.843 0.000 4.960
Tb 0.681 0.000 3.410
Tb -0.455 0.000 7.523
Tb 6.833 0.000 2.397
Tb 5.697 0.000 6.511
Ho 2.794 2.708 1.945
Ho 6.031 2.397 0.000
Ho 3.641 0.000 0.429
Ho 3.583 2.708 7.976
Ho 2.384 0.000 6.228
Ho 3.994 0.000 3.692
Ho 2.794 -2.708 1.945
Ho 2.737 0.000 9.491
Ho 6.031 -2.397 0.000
Ho 3.583 -2.708 7.976
Sc -3.677 0.000 7.826
Sc 10.054 0.000 2.095
```

Properties
**N(E_F)**: 1.41 states/eV/atom
**Energy of formation**: 0.594 eV per atom
**Space-group type**: C2/m
**Magnetization**: 0.0 μB/cell



No. 9
# Cs2AlCl

A relaxed structure of Cs2AlCl (PBE, the Alexandria database).

```
16
Lattice="9.576 0.000 0.000 0.000 9.576 0.000 0.000 0.000 10.551" Properties=species:S:1:pos:R:3 pbc="T T T"
Cs 1.887 2.394 1.319
Cs 2.394 6.675 3.957
Cs 2.394 7.689 9.232
Cs 2.901 2.394 6.594
Cs 6.675 7.182 6.594
Cs 7.182 1.887 9.232
Cs 7.182 2.901 3.957
Cs 7.689 7.182 1.319
Al 0.000 0.000 5.275
Al 0.000 4.788 7.913
Al 4.788 0.000 2.638
Al 4.788 4.788 0.000
Cl 0.000 0.000 0.000
Cl 0.000 4.788 2.638
Cl 4.788 0.000 7.913
Cl 4.788 4.788 5.275
```

Properties
**ΔE_f (raw)**: -0.4228 eV/atom
**Excess energy over the best structure of this formula in the dataset**: 0 meV/atom
**N(E_F)**: 0.27 states/eV/atom
**Space-group type**: I-42d
**Magnetization**: 8.0 μB/cell



No. 10
# Rb10Au4Br

A relaxed structure of Rb10Au4Br (PBE, the Alexandria database).

```
15
Lattice="2.999 1.731 24.243 -2.999 1.731 24.243 0.000 -3.463 24.243" Properties=species:S:1:pos:R:3 pbc="T T T"
Rb 0.000 0.000 3.611
Rb 0.000 0.000 10.784
Rb 0.000 0.000 18.240
Rb 0.000 0.000 25.465
Rb 0.000 0.000 32.537
Rb 0.000 0.000 40.191
Rb 0.000 0.000 47.263
Rb 0.000 0.000 54.488
Rb 0.000 0.000 61.945
Rb 0.000 0.000 69.117
Au 0.000 0.000 7.260
Au 0.000 0.000 21.856
Au 0.000 0.000 50.872
Au 0.000 0.000 65.468
Br 0.000 0.000 36.364
```

Properties
**ΔE_f (raw)**: -0.3437 eV/atom
**N(E_F)**: 0.78 states/eV/atom
**Space-group type**: R-3m
**Magnetization**: 2.2 μB/cell



No. 11
# Ac3Zn2Pb

A relaxed structure of Ac3Zn2Pb (PBE, the Alexandria database).

```
6
Lattice="3.927 0.000 0.000 0.000 3.927 0.000 0.000 0.000 12.414" Properties=species:S:1:pos:R:3 pbc="T T T"
Ac 0.000 0.000 0.000
Ac 0.000 0.000 3.902
Ac 0.000 0.000 8.511
Zn 1.964 1.964 1.876
Zn 1.964 1.964 10.538
Pb 1.964 1.964 6.207
```

Properties
**Excess energy over the best structure of this formula in the dataset**: 0 meV/atom
**N(E_F)**: 0.86 states/eV/atom
**Energy of formation**: -0.315 eV per atom
**Space-group type**: P4/mmm
**Magnetization**: 0.0 μB/cell



No. 12
# Li2TaSb

A relaxed structure of Li2TaSb (PBE, the Alexandria database).

```
4
Lattice="3.018 0.000 0.000 0.000 4.680 0.000 -1.148 0.000 5.238" Properties=species:S:1:pos:R:3 pbc="T T T"
Li 0.159 0.000 1.256
Li 1.712 0.000 3.982
Ta 1.509 2.340 0.000
Sb -0.574 2.340 2.619
```

Properties
**ΔE_f (raw)**: 0.1393 eV/atom
**N(E_F)**: 0.67 states/eV/atom
**Space-group type**: P2/m
**Magnetization**: 0.0 μB/cell



No. 13
# NaH2Se2

A relaxed structure of NaH2Se2 (PBE, the Alexandria database).

```
10
Lattice="3.115 -6.147 0.000 3.115 6.147 0.000 -0.268 0.000 5.422" Properties=species:S:1:pos:R:3 pbc="T T T"
Na 2.914 5.120 4.066
Na 3.048 -5.120 1.355
H 2.969 2.668 2.937
H 2.858 2.668 5.196
H 3.103 -2.668 0.226
H 2.993 -2.668 2.485
Se 3.048 4.276 1.355
Se 2.914 1.600 4.066
Se 3.048 -1.600 1.355
Se 2.914 -4.276 4.066
```

Properties
**Excess energy over the best structure of this formula in the dataset**: 80 meV/atom
**N(E_F)**: 0.27 states/eV/atom
**Space-group type**: C2/c
**Magnetization**: 0.0 μB/cell



No. 14
# CaCo2P

A relaxed structure of CaCo2P (PBE, the Alexandria database).

```
12
Lattice="3.875 0.000 0.000 -1.937 3.355 0.000 0.000 0.000 15.076" Properties=species:S:1:pos:R:3 pbc="T T T"
Ca 0.000 0.000 0.000
Ca 0.000 2.237 10.051
Ca 1.937 1.118 5.025
Co 0.000 0.000 2.881
Co 0.000 0.000 12.195
Co 0.000 2.237 7.170
Co 0.000 2.237 12.932
Co 1.937 1.118 2.144
Co 1.937 1.118 7.907
P 0.000 0.000 7.538
P 0.000 2.237 2.513
P 1.937 1.118 12.563
```

Properties
**N(E_F)**: 1.24 states/eV/atom
**Energy of formation**: -0.447 eV per atom
**Space-group type**: R-3m
**Magnetization**: 0.0 μB/cell



No. 15
# Nd6Ga2Sb

A relaxed structure of Nd6Ga2Sb (PBE, the Alexandria database).

```
18
Lattice="-4.887 5.055 5.505 4.887 -5.055 5.505 4.887 5.055 -5.505" Properties=species:S:1:pos:R:3 pbc="T T T"
Nd 4.887 3.003 -2.964
Nd 2.754 1.887 0.000
Nd 7.019 1.887 0.000
Nd 2.026 5.055 -1.938
Nd 2.861 0.000 3.568
Nd 0.000 2.052 2.542
Nd 4.887 3.003 2.964
Nd 2.026 5.055 1.938
Nd 2.861 0.000 7.443
Nd -2.132 3.168 5.505
Nd 2.132 3.168 5.505
Nd 0.000 2.052 8.469
Ga 4.887 0.000 1.307
Ga 0.000 3.735 0.000
Ga 0.000 6.376 0.000
Ga 0.000 5.055 4.198
Sb 0.000 0.000 0.000
Sb 0.000 0.000 5.505
```

Properties
**ΔE_f (raw)**: -0.4957 eV/atom
**N(E_F)**: 1.03 states/eV/atom
**Space-group type**: Immm
**Magnetization**: 0.0 μB/cell



No. 16
# Nd2Sm6Th

A relaxed structure of Nd2Sm6Th (PBE, the Alexandria database).

```
9
Lattice="8.629 -4.956 0.000 8.629 4.956 0.000 -0.007 0.000 3.555" Properties=species:S:1:pos:R:3 pbc="T T T"
Nd 2.872 0.000 3.554
Nd 14.379 0.000 0.001
Sm 5.775 1.641 1.781
Sm 8.625 3.275 1.778
Sm 5.775 -1.641 1.781
Sm 11.476 1.641 1.774
Sm 8.625 -3.275 1.778
Sm 11.476 -1.641 1.774
Th 8.629 0.000 0.000
```

Properties
**Excess energy over the best structure of this formula in the dataset**: 0 meV/atom
**N(E_F)**: 1.32 states/eV/atom
**Energy of formation**: 0.055 eV per atom
**Space-group type**: C2/m
**Magnetization**: 0.0 μB/cell



No. 17
# Dy2ZnSi3Pd4

A relaxed structure of Dy2ZnSi3Pd4 (PBE, the Alexandria database).

```
10
Lattice="4.175 0.000 0.000 0.000 4.175 0.000 0.000 0.000 10.089" Properties=species:S:1:pos:R:3 pbc="T T T"
Dy 0.000 2.087 2.505
Dy 2.087 0.000 7.583
Zn 2.087 2.087 0.000
Si 0.000 0.000 0.000
Si 0.000 2.087 6.364
Si 2.087 0.000 3.725
Pd 0.000 0.000 5.044
Pd 0.000 2.087 8.715
Pd 2.087 0.000 1.374
Pd 2.087 2.087 5.044
```

Properties
**ΔE_f (raw)**: -0.8426 eV/atom
**N(E_F)**: 0.54 states/eV/atom
**Space-group type**: P-4m2
**Magnetization**: 0.0 μB/cell



No. 18
# Ba6Pt2I3N

A relaxed structure of Ba6Pt2I3N (PBE, the Alexandria database).

```
12
Lattice="3.937 -6.812 0.000 3.937 6.812 0.000 -2.628 0.000 8.484" Properties=species:S:1:pos:R:3 pbc="T T T"
Ba 1.193 2.057 1.592
Ba -0.248 0.000 6.867
Ba 1.193 -2.057 1.592
Ba 4.052 2.057 6.892
Ba 5.493 0.000 1.617
Ba 4.052 -2.057 6.892
Pt 3.937 2.263 0.000
Pt 3.937 -2.263 0.000
I 2.623 4.479 4.242
I 2.623 0.000 4.242
I 2.623 -4.479 4.242
N 0.000 0.000 0.000
```

Properties
**ΔE_f (raw)**: -1.0757 eV/atom
**N(E_F)**: 0.48 states/eV/atom
**Space-group type**: C2/m
**Magnetization**: 0.0 μB/cell



No. 19
# CuRh2

A relaxed structure of CuRh2 (PBE, the Alexandria database).

```
9
Lattice="7.285 0.000 0.000 -3.642 6.309 0.000 0.000 0.000 2.688" Properties=species:S:1:pos:R:3 pbc="T T T"
Cu 0.000 0.000 0.000
Cu 0.000 4.206 1.344
Cu 3.642 2.103 1.344
Rh -1.109 1.920 1.344
Rh -2.327 4.030 0.000
Rh 2.217 0.000 1.344
Rh 1.316 2.279 0.000
Rh 4.654 0.000 0.000
Rh 2.534 4.389 1.344
```

Properties
**Excess energy over the best structure of this formula in the dataset**: 85 meV/atom
**N(E_F)**: 1.40 states/eV/atom
**Energy of formation**: 0.128 eV per atom
**Space-group type**: P-62m
**Magnetization**: 4.9 μB/cell



No. 20
# Rb2Zr3PaO12

A relaxed structure of Rb2Zr3PaO12 (PBE, the Alexandria database).

```
18
Lattice="3.920 2.263 6.449 -3.920 2.263 6.449 0.000 -4.527 6.449" Properties=species:S:1:pos:R:3 pbc="T T T"
Rb 0.000 0.000 2.350
Rb 0.000 0.000 16.996
Zr -1.960 -1.132 6.449
Zr -1.960 1.132 12.898
Zr 0.000 2.263 6.449
Pa 0.000 0.000 9.673
O -1.537 -0.888 8.521
O 0.000 -1.735 6.033
O -1.502 0.867 6.033
O 0.000 -1.775 10.826
O -1.537 0.888 10.826
O -1.502 -0.867 13.314
O 1.502 0.867 6.033
O 1.537 -0.888 8.521
O 0.000 1.775 8.521
O 1.502 -0.867 13.314
O 0.000 1.735 13.314
O 1.537 0.888 10.826
```

Properties
**ΔE_f (raw)**: -2.3474 eV/atom
**N(E_F)**: 0.54 states/eV/atom
**Space-group type**: R-3m
**Magnetization**: 5.1 μB/cell



No. 21
# Tb7TmZn4

A relaxed structure of Tb7TmZn4 (PBE, the Alexandria database).

```
12
Lattice="6.984 -2.761 0.000 6.984 2.761 0.000 -5.322 0.000 8.186" Properties=species:S:1:pos:R:3 pbc="T T T"
Tb 0.000 0.000 0.000
Tb -0.465 0.000 5.502
Tb 3.431 0.000 0.978
Tb 2.825 0.000 4.893
Tb 5.821 0.000 3.293
Tb 5.215 0.000 7.208
Tb 9.111 0.000 2.684
Tm 6.984 0.000 0.000
Zn -3.314 0.000 6.037
Zn 0.684 0.000 2.769
Zn 7.962 0.000 5.417
Zn 11.960 0.000 2.149
```

Properties
**N(E_F)**: 1.11 states/eV/atom
**Energy of formation**: -0.002 eV per atom
**Space-group type**: C2/m
**Magnetization**: 0.0 μB/cell



No. 22
# Ce2SiRh

A relaxed structure of Ce2SiRh (PBE, the Alexandria database).

```
12
Lattice="3.080 0.000 0.000 -1.540 2.667 0.000 0.000 0.000 30.135" Properties=species:S:1:pos:R:3 pbc="T T T"
Ce 0.000 0.000 2.527
Ce 0.000 0.000 27.607
Ce 0.000 1.778 17.563
Ce 0.000 1.778 22.617
Ce 1.540 0.889 7.518
Ce 1.540 0.889 12.572
Si 0.000 0.000 15.067
Si 0.000 1.778 5.022
Si 1.540 0.889 25.112
Rh 0.000 0.000 0.000
Rh 0.000 1.778 20.090
Rh 1.540 0.889 10.045
```

Properties
**ΔE_f (raw)**: -0.1006 eV/atom
**N(E_F)**: 1.72 states/eV/atom
**Space-group type**: R-3m
**Magnetization**: 0.0 μB/cell



No. 23
# CaFeI2

A relaxed structure of CaFeI2 (PBE, the Alexandria database).

```
16
Lattice="7.686 0.000 0.000 0.000 7.686 0.000 0.000 0.000 7.686" Properties=species:S:1:pos:R:3 pbc="T T T"
Ca 0.000 0.000 0.000
Ca 0.000 3.843 3.843
Ca 3.843 0.000 3.843
Ca 3.843 3.843 0.000
Fe 0.000 0.000 3.843
Fe 0.000 3.843 0.000
Fe 3.843 0.000 0.000
Fe 3.843 3.843 3.843
I 1.921 1.921 1.921
I 1.921 1.921 5.764
I 1.921 5.764 1.921
I 1.921 5.764 5.764
I 5.764 1.921 1.921
I 5.764 1.921 5.764
I 5.764 5.764 1.921
I 5.764 5.764 5.764
```

Properties
**ΔE_f (raw)**: -0.1389 eV/atom
**Excess energy over the best structure of this formula in the dataset**: 32 meV/atom
**N(E_F)**: 0.16 states/eV/atom
**Space-group type**: Fm-3m
**Magnetization**: 15.8 μB/cell